A geometry-optimized BaGdSO structure, computed with GGA-PBE.

Unit cell a=6.985 b=17.231 c=6.486 alpha=90.00 beta=90.00 gamma=90.00
Element x y z (fractional)
Ba  0.302  0.427  0.133
Ba  0.198  0.927  0.133
Ba  0.802  0.427  0.367
Ba  0.698  0.927  0.367
Ba  0.302  0.073  0.633
Ba  0.198  0.573  0.633
Ba  0.802  0.073  0.867
Ba  0.698  0.573  0.867
Gd  0.150  0.203  0.157
Gd  0.350  0.703  0.157
Gd  0.650  0.203  0.343
Gd  0.850  0.703  0.343
Gd  0.150  0.297  0.657
Gd  0.350  0.797  0.657
Gd  0.650  0.297  0.843
Gd  0.850  0.797  0.843
O  0.828  0.226  0.058
O  0.672  0.726  0.058
O  0.328  0.226  0.442
O  0.172  0.726  0.442
O  0.828  0.274  0.558
O  0.672  0.774  0.558
O  0.328  0.274  0.942
O  0.172  0.774  0.942
S  0.429  0.084  0.140
S  0.071  0.584  0.140
S  0.929  0.084  0.360
S  0.571  0.584  0.360
S  0.429  0.416  0.640
S  0.071  0.916  0.640
S  0.929  0.416  0.860
S  0.571  0.916  0.860

E: -196.4 eV/cell



A geometry-optimized RbReSi structure, computed with GGA-PBE.

Unit cell a=4.502 b=4.502 c=4.502 alpha=60.00 beta=60.00 gamma=60.00
Element x y z (fractional)
Rb  0.250  0.250  0.250
Re  0.000  0.000  0.000
Si  0.750  0.750  0.750

E: -13.6 eV/cell



A geometry-optimized HfCuAgSe3 structure, computed with GGA-PBE.

Unit cell a=6.809 b=6.809 c=10.145 alpha=90.00 beta=90.00 gamma=147.88
Element x y z (fractional)
Ag  0.273  0.727  0.250
Ag  0.727  0.273  0.750
Cu  0.964  0.036  0.250
Cu  0.036  0.964  0.750
Hf  0.500  0.500  0.000
Hf  0.500  0.500  0.500
Se  0.860  0.140  0.053
Se  0.588  0.412  0.250
Se  0.860  0.140  0.447
Se  0.140  0.860  0.553
Se  0.412  0.588  0.750
Se  0.140  0.860  0.947

E: -61.9 eV/cell



A geometry-optimized SrNdTeAuSe2 structure, computed with GGA-PBE.

Unit cell a=7.670 b=7.670 c=11.144 alpha=90.00 beta=90.00 gamma=148.29
Element x y z (fractional)
Au  0.477  0.523  0.250
Au  0.523  0.477  0.750
Nd  0.000  0.000  0.000
Nd  0.000  0.000  0.500
Se  0.363  0.637  0.065
Se  0.363  0.637  0.435
Se  0.637  0.363  0.565
Se  0.637  0.363  0.935
Sr  0.782  0.218  0.250
Sr  0.218  0.782  0.750
Te  0.104  0.896  0.250
Te  0.896  0.104  0.750

E: -56.2 eV/cell



A geometry-optimized TbCoSn structure, computed with GGA-PBE.

Unit cell a=4.522 b=4.522 c=6.941 alpha=90.00 beta=90.00 gamma=120.00
Element x y z (fractional)
Co  0.333  0.667  0.250
Co  0.667  0.333  0.750
Sn  0.667  0.333  0.250
Sn  0.333  0.667  0.750
Tb  0.000  0.000  0.000
Tb  0.000  0.000  0.500

E: -34.0 eV/cell



A geometry-optimized Zr3Al3Ni2Pd structure, computed with GGA-PBE.

Unit cell a=6.977 b=6.977 c=3.557 alpha=90.00 beta=90.00 gamma=120.00
Element x y z (fractional)
Al  0.740  0.000  0.000
Al  0.260  0.260  0.000
Al  0.000  0.740  0.000
Ni  0.667  0.333  0.000
Ni  0.333  0.667  0.000
Pd  0.000  0.000  0.500
Zr  0.415  0.000  0.500
Zr  0.000  0.415  0.500
Zr  0.585  0.585  0.500

E: -59.3 eV/cell